CaCu2NiF8: optimized geometry, PBE+U.

Output
The calculated volume is 149.1 Å³ per cell. Its space group is No. 82. Its energy is -4.47 eV per atom.

Lattice parameters (Å, degrees): 5.3148 5.3148 6.4803 114.21 114.21 90.00
With the nearest neighbours (Å) after each atom.
Fractional positions:
1 F 0.0424 0.3892 0.3813  1 Cu 1.89
2 F 0.3681 0.2541 0.1038  1 Cu 1.94, 1 Ni 2.07
3 F 0.0079 0.9576 0.6187  1 Cu 1.89
4 F 0.1502 0.6319 0.8962  1 Cu 1.94, 1 Ni 2.07
5 Cu 0.5000 0.5000 0.0000  4 F 1.94
6 F 0.3389 0.9921 0.3813  1 Cu 1.89
7 Cu 0.2500 0.7500 0.5000  4 F 1.89
8 F 0.7459 0.2642 0.8962  1 Cu 1.94, 1 Ni 2.07
9 F 0.7358 0.8498 0.1038  1 Cu 1.94, 1 Ni 2.07
10 Ca 0.7500 0.2500 0.5000  4 F 2.24
11 F 0.6108 0.6611 0.6187  1 Cu 1.89
12 Ni 0.0000 0.0000 0.0000  4 F 2.07